1.
## PrSm2Tm3S6 (PBE)

Data for PrSm2Tm3S6 after structural relaxation.

* space-group type: C2/m, No. 12
* N(E_F): 0.378 states/eV/atom

Lattice parameters (Å, degrees): 3.8953 7.9966 8.8649 104.64 102.69 90.00
Element x y z (fractional)
Pr: 0.5000 0.0000 0.0000
Sm: 0.8336 0.6674 0.6673
Sm: 0.1664 0.3326 0.3327
Tm: 0.5000 0.5000 0.0000
Tm: 0.8343 0.1670 0.6686
Tm: 0.1657 0.8330 0.3314
S: 0.3274 0.9253 0.6549
S: 0.6632 0.5928 0.3264
S: 0.6726 0.0747 0.3451
S: 0.9966 0.2651 0.9933
S: 0.0034 0.7349 0.0067
S: 0.3368 0.4072 0.6736

---

2.
## PrSm4Tm3S8 (PBE)

Data for PrSm4Tm3S8 after structural relaxation.

* space-group type: R-3m, No. 166
* N(E_F): 0.489 states/eV/atom

Lattice parameters (Å, degrees): 7.9061 7.9443 7.9061 119.84 120.00 90.00
Element x y z (fractional)
Pr: 0.0000 0.5000 0.0000
Sm: 0.5000 0.0000 0.0000
Sm: 0.5000 0.0000 0.5000
Sm: 0.0000 0.0000 0.0000
Sm: 0.0000 0.0000 0.5000
Tm: 0.5000 0.5000 0.0000
Tm: 0.5000 0.5000 0.5000
Tm: 0.0000 0.5000 0.5000
S: 0.2527 0.7409 0.9882
S: 0.2527 0.7409 0.5054
S: 0.2557 0.2670 0.5113
S: 0.7355 0.7409 0.9882
S: 0.2645 0.2591 0.0118
S: 0.7443 0.7330 0.4887
S: 0.7473 0.2591 0.4946
S: 0.7473 0.2591 0.0118

---

3.
## PrSm2US4 (PBE)

Data for PrSm2US4 after structural relaxation.

* space-group type: P2/m, No. 10
* N(E_F): 1.164 states/eV/atom

Lattice parameters (Å, degrees): 3.9725 6.9562 6.9420 109.10 90.00 90.00
Element x y z (fractional)
Pr: 0.0000 0.0000 0.0000
Sm: 0.5000 0.0000 0.5000
Sm: 0.0000 0.5000 0.5000
U: 0.5000 0.5000 0.0000
S: 0.5000 0.2589 0.2520
S: 0.5000 0.7411 0.7480
S: 0.0000 0.2588 0.7536
S: 0.0000 0.7412 0.2464

---

4.
## PrSm2YS4 (PBE)

Data for PrSm2YS4 after structural relaxation.

* space-group type: P2/m, No. 10
* N(E_F): 0.603 states/eV/atom

Lattice parameters (Å, degrees): 3.9734 6.9462 7.0028 71.00 90.00 90.00
Element x y z (fractional)
Pr: 0.5000 0.5000 0.0000
Sm: 0.0000 0.0000 0.0000
Sm: 0.5000 0.0000 0.5000
Y: 0.0000 0.5000 0.5000
S: 0.0000 0.7527 0.7410
S: 0.0000 0.2473 0.2590
S: 0.5000 0.7465 0.2592
S: 0.5000 0.2535 0.7408

---

5.
## Pr3Sm3YS8 (PBE)

Data for Pr3Sm3YS8 after structural relaxation.

* space-group type: R-3m, No. 166
* N(E_F): 0.475 states/eV/atom

Lattice parameters (Å, degrees): 8.0619 8.0620 8.1079 119.81 90.00 120.00
Element x y z (fractional)
Pr: 0.0000 0.0000 0.0000
Pr: 0.0000 0.5000 0.0000
Pr: 0.5000 0.5000 0.0000
Sm: 0.5000 0.0000 0.5000
Sm: 0.5000 0.5000 0.5000
Sm: 0.0000 0.5000 0.5000
Y: 0.0000 0.0000 0.5000
S: 0.2528 0.5056 0.2584
S: 0.7472 0.4944 0.7416
S: 0.7563 0.5127 0.2618
S: 0.2437 0.4873 0.7382
S: 0.7563 0.0054 0.2618
S: 0.2437 0.9946 0.7382
S: 0.2491 0.0054 0.2618
S: 0.7509 0.9946 0.7382

---

6.
## PrSm2Y3S6 (PBE)

Data for PrSm2Y3S6 after structural relaxation.

* space-group type: C2/m, No. 12
* N(E_F): 0.445 states/eV/atom

Lattice parameters (Å, degrees): 6.8778 6.8778 6.9292 99.50 99.50 120.17
Element x y z (fractional)
Pr: 0.0000 0.0000 0.0000
Sm: 0.3336 0.6664 0.0000
Sm: 0.6664 0.3336 0.0000
Y: 0.1646 0.8354 0.5000
Y: 0.8354 0.1646 0.5000
Y: 0.5000 0.5000 0.5000
S: 0.9125 0.5744 0.7379
S: 0.7489 0.7489 0.2608
S: 0.0875 0.4256 0.2621
S: 0.5744 0.9125 0.7379
S: 0.2511 0.2511 0.7392
S: 0.4256 0.0875 0.2621

---

7.
## PrSm4Y3S8 (PBE)

Data for PrSm4Y3S8 after structural relaxation.

* space-group type: R-3m, No. 166
* N(E_F): 0.563 states/eV/atom

Lattice parameters (Å, degrees): 7.9774 7.9819 7.9777 119.99 120.00 90.00
Element x y z (fractional)
Pr: 0.0000 0.5000 0.0000
Sm: 0.5000 0.0000 0.0000
Sm: 0.5000 0.0000 0.5000
Sm: 0.0000 0.0000 0.0000
Sm: 0.0000 0.0000 0.5000
Y: 0.5000 0.5000 0.0000
Y: 0.5000 0.5000 0.5000
Y: 0.0000 0.5000 0.5000
S: 0.2529 0.7465 0.9936
S: 0.2529 0.7465 0.5058
S: 0.2531 0.2593 0.5062
S: 0.7407 0.7465 0.9936
S: 0.2593 0.2535 0.0064
S: 0.7469 0.7407 0.4938
S: 0.7471 0.2535 0.4942
S: 0.7471 0.2535 0.0064

---

8.
## Pr2Sm3YS6 (PBE)

Data for Pr2Sm3YS6 after structural relaxation.

* space-group type: C2/m, No. 12
* N(E_F): 0.420 states/eV/atom

Lattice parameters (Å, degrees): 6.9846 6.9846 6.9659 99.60 99.60 120.14
Element x y z (fractional)
Pr: 0.3331 0.6669 0.0000
Pr: 0.6669 0.3331 0.0000
Sm: 0.1709 0.8291 0.5000
Sm: 0.8291 0.1709 0.5000
Sm: 0.5000 0.5000 0.5000
Y: 0.0000 0.0000 0.0000
S: 0.9164 0.5927 0.7486
S: 0.7618 0.7618 0.2549
S: 0.0836 0.4073 0.2514
S: 0.5927 0.9164 0.7486
S: 0.2382 0.2382 0.7451
S: 0.4073 0.0836 0.2514

---

9.
## Pr3Sm2YS6 (PBE)

Data for Pr3Sm2YS6 after structural relaxation.

* space-group type: C2/m, No. 12
* N(E_F): 0.448 states/eV/atom

Lattice parameters (Å, degrees): 6.9887 6.9887 7.0322 99.52 99.52 120.15
Element x y z (fractional)
Pr: 0.1690 0.8310 0.5000
Pr: 0.8310 0.1690 0.5000
Pr: 0.5000 0.5000 0.5000
Sm: 0.3332 0.6668 0.0000
Sm: 0.6668 0.3332 0.0000
Y: 0.0000 0.0000 0.0000
S: 0.9210 0.5929 0.7625
S: 0.7519 0.7519 0.2397
S: 0.0790 0.4071 0.2375
S: 0.5929 0.9210 0.7625
S: 0.2481 0.2481 0.7603
S: 0.4071 0.0790 0.2375

---

10.
## PrSm4YS8 (PBE)

Data for PrSm4YS8 after structural relaxation.

* space-group type: R3m, No. 160
* N(E_F): 0.603 states/eV/atom

Lattice parameters (Å, degrees): 8.2309 8.2309 8.2531 60.09 60.09 60.00
Element x y z (fractional)
Pr: 0.0009 0.0009 0.9973
Sm: 0.6254 0.6254 0.1238
Sm: 0.0007 0.4976 0.5010
Sm: 0.4976 0.0007 0.5010
Sm: 0.0007 0.0007 0.5010
Y: 0.3745 0.3745 0.8765
S: 0.2485 0.7639 0.7391
S: 0.7639 0.2485 0.7391
S: 0.2485 0.2485 0.7391
S: 0.2441 0.2441 0.2677
S: 0.7543 0.2283 0.2631
S: 0.2283 0.7543 0.2631
S: 0.7543 0.7543 0.2631
S: 0.7583 0.7583 0.7250

---

11.
## PrSm2YS6 (PBE)

Data for PrSm2YS6 after structural relaxation.

* space-group type: R3, No. 146
* N(E_F): 0.000 states/eV/atom

Lattice parameters (Å, degrees): 7.0945 7.0945 7.4842 61.70 61.70 60.00
Element x y z (fractional)
Pr: 0.8108 0.8108 0.5675
Sm: 0.5205 0.5204 0.4387
Sm: 0.0168 0.0169 0.9495
Y: 0.3163 0.3162 0.0513
S: 0.6100 0.2154 0.2501
S: 0.2154 0.9245 0.2501
S: 0.9246 0.6100 0.2501
S: 0.4071 0.7122 0.7527
S: 0.7122 0.1280 0.7527
S: 0.1280 0.4071 0.7527

---

12.
## PrSm3Y2S6 (PBE)

Data for PrSm3Y2S6 after structural relaxation.

* space-group type: C2/m, No. 12
* N(E_F): 0.417 states/eV/atom

Lattice parameters (Å, degrees): 6.9284 6.9284 6.9147 99.59 99.59 120.15
Element x y z (fractional)
Pr: 0.0000 0.0000 0.0000
Sm: 0.1619 0.8381 0.5000
Sm: 0.8381 0.1619 0.5000
Sm: 0.5000 0.5000 0.5000
Y: 0.3338 0.6662 0.0000
Y: 0.6662 0.3338 0.0000
S: 0.9174 0.5737 0.7518
S: 0.7379 0.7379 0.2442
S: 0.0826 0.4263 0.2482
S: 0.5737 0.9174 0.7518
S: 0.2621 0.2621 0.7558
S: 0.4263 0.0826 0.2482

---

13.
## Pr3SmY2S6 (PBE)

Data for Pr3SmY2S6 after structural relaxation.

* space-group type: C2/m, No. 12
* N(E_F): 0.451 states/eV/atom

Lattice parameters (Å, degrees): 6.9479 6.9479 7.0324 99.46 99.46 120.15
Element x y z (fractional)
Pr: 0.1643 0.8357 0.5000
Pr: 0.8357 0.1643 0.5000
Pr: 0.5000 0.5000 0.5000
Sm: 0.0000 0.0000 0.0000
Y: 0.3335 0.6665 0.0000
Y: 0.6665 0.3335 0.0000
S: 0.9215 0.5829 0.7642
S: 0.7392 0.7392 0.2338
S: 0.0785 0.4171 0.2358
S: 0.5829 0.9215 0.7642
S: 0.2608 0.2608 0.7662
S: 0.4171 0.0785 0.2358

---

14.
## Pr2SmZnS5 (PBE)

Data for Pr2SmZnS5 after structural relaxation.

* space-group type: Cmc2_1, No. 36
* N(E_F): 0.113 states/eV/atom

Lattice parameters (Å, degrees): 3.9210 8.7158 12.1802 90.00 90.00 103.00
Element x y z (fractional)
Pr: 0.8731 0.7461 0.8380
Pr: 0.1172 0.2343 0.6881
Pr: 0.1269 0.2539 0.3380
Pr: 0.8828 0.7657 0.1880
Sm: 0.8120 0.6239 0.5259
Sm: 0.1880 0.3761 0.0259
Zn: 0.5450 0.0900 0.9288
Zn: 0.4550 0.9100 0.4288
S: 0.3499 0.6998 0.0141
S: 0.6817 0.3633 0.8583
S: 0.4913 0.9826 0.7572
S: 0.2974 0.5949 0.6879
S: 0.9776 0.9553 0.5257
S: 0.6501 0.3002 0.5141
S: 0.3183 0.6367 0.3583
S: 0.5087 0.0174 0.2572
S: 0.7026 0.4051 0.1879
S: 0.0224 0.0447 0.0257

---

15.
## PrSnS3 (PBE)

Data for PrSnS3 after structural relaxation.

* excess energy over the best structure of this formula in the dataset: 0 meV per atom
* space-group type: Pnma, No. 62
* N(E_F): 0.280 states/eV/atom

Lattice parameters (Å, degrees): 3.9952 8.0245 14.4206 90.00 90.00 90.00
Element x y z (fractional)
Pr: 0.7500 0.8599 0.8097
Pr: 0.2500 0.1401 0.1903
Pr: 0.7500 0.3599 0.6903
Pr: 0.2500 0.6401 0.3097
Sn: 0.2500 0.3177 0.9487
Sn: 0.2500 0.8177 0.5513
Sn: 0.7500 0.1823 0.4487
Sn: 0.7500 0.6823 0.0513
S: 0.2500 0.3449 0.5422
S: 0.7500 0.8502 0.2081
S: 0.7500 0.5056 0.8785
S: 0.7500 0.0056 0.6215
S: 0.7500 0.6551 0.4578
S: 0.2500 0.9944 0.3785
S: 0.2500 0.8449 0.9578
S: 0.7500 0.3502 0.2919
S: 0.2500 0.6498 0.7081
S: 0.2500 0.1498 0.7919
S: 0.7500 0.1551 0.0422
S: 0.2500 0.4944 0.1215

---

16.
## Pr3SnS6 (PBE)

Data for Pr3SnS6 after structural relaxation.

* space-group type: Cmc2_1, No. 36
* N(E_F): 0.165 states/eV/atom

Lattice parameters (Å, degrees): 6.9142 8.8258 8.8258 102.09 90.00 90.00
Element x y z (fractional)
Pr: 0.4867 0.9152 0.7104
Pr: 0.9867 0.7104 0.9152
Pr: 0.3881 0.4012 0.5988
Pr: 0.8881 0.5988 0.4012
Pr: 0.9867 0.0848 0.2896
Pr: 0.4867 0.2896 0.0848
Sn: 0.9970 0.1696 0.8304
Sn: 0.4970 0.8304 0.1696
S: 0.1860 0.6907 0.6356
S: 0.6860 0.6356 0.6907
S: 0.1853 0.4208 0.9032
S: 0.6853 0.9032 0.4208
S: 0.2418 0.0093 0.9907
S: 0.6425 0.2305 0.7695
S: 0.1425 0.7695 0.2305
S: 0.7418 0.9907 0.0093
S: 0.1853 0.0968 0.5792
S: 0.6853 0.5792 0.0968
S: 0.1860 0.3644 0.3093
S: 0.6860 0.3093 0.3644

---

17.
## Pr7SnS5 (PBE)

Data for Pr7SnS5 after structural relaxation.

* space-group type: Cmcm, No. 63
* N(E_F): 0.681 states/eV/atom

Lattice parameters (Å, degrees): 4.1989 7.0748 24.5360 90.00 90.00 107.29
Element x y z (fractional)
Pr: 0.4740 0.9481 0.2500
Pr: 0.5266 0.0531 0.7500
Pr: 0.6357 0.2715 0.0364
Pr: 0.3648 0.7296 0.9636
Pr: 0.3649 0.7296 0.5364
Pr: 0.6357 0.2715 0.4636
Pr: 0.1763 0.3528 0.1728
Pr: 0.8243 0.6483 0.8272
Pr: 0.8243 0.6484 0.6728
Pr: 0.1762 0.3527 0.3272
Pr: 0.9070 0.8133 0.1101
Pr: 0.0936 0.1878 0.8899
Pr: 0.0936 0.1879 0.6101
Pr: 0.9069 0.8133 0.3899
Sn: 0.7991 0.5984 0.2500
Sn: 0.2015 0.4027 0.7500
S: 0.0003 0.0006 0.0000
S: 0.7280 0.4562 0.9301
S: 0.2726 0.5449 0.0699
S: 0.5428 0.0852 0.3594
S: 0.4577 0.9159 0.6406
S: 0.0003 0.0006 0.5000
S: 0.2725 0.5449 0.4301
S: 0.7280 0.4563 0.5699
S: 0.4577 0.9158 0.8594
S: 0.5429 0.0853 0.1406

---

18.
## PrSnS3 (PBE)

Data for PrSnS3 after structural relaxation.

* excess energy over the best structure of this formula in the dataset: 157 meV per atom
* space-group type: Imma, No. 74
* N(E_F): 0.132 states/eV/atom

Lattice parameters (Å, degrees): 5.1934 8.9562 7.6221 125.98 109.92 90.00
Element x y z (fractional)
Pr: 0.0000 0.5000 0.0000
Pr: 0.5000 0.0000 0.0000
Sn: 0.2500 0.2593 0.5000
Sn: 0.7500 0.7407 0.5000
S: 0.0648 0.2246 0.1295
S: 0.4352 0.5951 0.8705
S: 0.5648 0.4049 0.1295
S: 0.9352 0.7754 0.8705
S: 0.2500 0.8354 0.5000
S: 0.7500 0.1646 0.5000

---

Ordered E results: -0.4668; -0.4674; -0.5205; -0.4893; -0.4840; -0.5056; -0.4968; -0.4849; -0.4856; -0.4723; -0.4831; -0.4950; -0.4960; -0.4234; -0.3953; -0.4348; -0.4525; -0.3838; unit Ry per atom.